No. 1
A geometry-optimized ScTePO2 structure. Source: Alexandria, functional PBE-GGA.

Values from the calculation:
Formation energy without anion corrections   -0.97 eV per atom
Energy relative to the lowest polymorph listed for this composition   0.00 eV/f.u.
N(E_F)   0.733 states/eV/atom
Symmetry   P4/mmm, No. 123
Spin magnetization   0.233 μB/atom

Cell and atoms, written as POSCAR:
```
ScTePO2
1.0
3.9646 0.0000 0.0000
0.0000 3.9646 0.0000
0.0000 0.0000 6.1397
Sc Te P O
1 1 1 2
Direct
0.0000 0.0000 0.0000
0.5000 0.5000 0.5000
0.0000 0.0000 0.5000
0.0000 0.5000 0.0000
0.5000 0.0000 0.0000
```

No. 2
A geometry-optimized HfTcAs2 structure. Source: Alexandria, functional PBE-GGA.

Values from the calculation:
DFT formation energy   0.3 eV per formula unit
Energy relative to the lowest polymorph listed for this composition   1.64 eV/f.u.
N(E_F)   0.758 states/eV/atom
Symmetry   I-42d, No. 122
Spin magnetization   0.000 μB/atom

Cell and atoms, written as POSCAR:
```
HfTcAs2
1.0
-2.5816 2.5816 6.8799
2.5816 -2.5816 6.8799
2.5816 2.5816 -6.8799
Hf Tc As
2 2 4
Direct
0.0000 0.0000 0.0000
0.7500 0.2500 0.5000
0.2500 0.7500 0.5000
0.5000 0.5000 0.0000
0.1699 0.6250 0.0449
0.3750 0.4199 0.5449
0.5801 0.1250 0.9551
0.8750 0.8301 0.4551
```

No. 3
A geometry-optimized KMg structure. Source: Alexandria, functional PBE-GGA.

Values from the calculation:
DFT formation energy   0.3 eV per formula unit
N(E_F)   0.429 states/eV/atom
Symmetry   I4/m, No. 87
Spin magnetization   0.000 μB/atom

Cell and atoms, written as POSCAR:
```
KMg
1.0
-6.4161 6.4161 2.0855
6.4161 -6.4161 2.0855
6.4161 6.4161 -2.0855
K Mg
4 4
Direct
0.1529 0.1585 0.3113
0.1585 0.8471 0.0056
0.8415 0.1529 0.9944
0.8471 0.8415 0.6887
0.1283 0.4950 0.6233
0.4950 0.8717 0.3666
0.5050 0.1283 0.6334
0.8717 0.5050 0.3767
```

No. 4
A geometry-optimized KAc2Si structure. Source: Alexandria, functional PBE-GGA.

Values from the calculation:
Formation energy without anion corrections   -0.07 eV per atom
N(E_F)   1.103 states/eV/atom
Symmetry   P4/mmm, No. 123
Spin magnetization   0.000 μB/atom

Cell and atoms, written as POSCAR:
```
KAc2Si
1.0
3.9859 0.0000 0.0000
0.0000 3.9859 0.0000
0.0000 0.0000 10.7790
K Ac Si
1 2 1
Direct
0.0000 0.0000 0.0000
0.5000 0.5000 0.3462
0.5000 0.5000 0.6538
0.0000 0.0000 0.5000
```

No. 5
A geometry-optimized ScP2Cl structure. Source: Alexandria, functional PBE-GGA.

Values from the calculation:
Formation energy without anion corrections   -0.93 eV per atom
Energy relative to the lowest polymorph listed for this composition   0.00 eV/f.u.
N(E_F)   0.083 states/eV/atom
Symmetry   Pm, No. 6
Spin magnetization   0.000 μB/atom

Cell and atoms, written as POSCAR:
```
ScP2Cl
1.0
3.9640 0.0000 0.0000
0.0000 3.3267 0.0000
-0.1939 0.0000 7.3811
Sc P Cl
1 2 1
Direct
0.0000 0.0000 0.0000
0.4234 0.0000 0.3067
0.5121 0.5000 0.1194
0.9592 0.5000 0.7413
```

No. 6
A geometry-optimized ScTiOsRu structure. Source: Alexandria, functional PBE-GGA.

Values from the calculation:
DFT formation energy   -2.4 eV per formula unit
Energy relative to the lowest polymorph listed for this composition   0.00 eV/f.u.
N(E_F)   0.851 states/eV/atom
Symmetry   P4mm, No. 99
Spin magnetization   0.000 μB/atom

Cell and atoms, written as POSCAR:
```
ScTiOsRu
1.0
3.1344 0.0000 0.0000
0.0000 3.1344 0.0000
0.0000 0.0000 6.3636
Sc Ti Os Ru
1 1 1 1
Direct
0.0000 0.0000 0.0000
0.0000 0.0000 0.5001
0.5000 0.5000 0.7329
0.5000 0.5000 0.2635
```

No. 7
A geometry-optimized MgB2P structure. Source: Alexandria, functional PBE-GGA.

Values from the calculation:
DFT formation energy   4.8 eV per formula unit
Energy relative to the lowest polymorph listed for this composition   5.20 eV/f.u.
N(E_F)   0.344 states/eV/atom
Symmetry   Fm-3m, No. 225
Spin magnetization   0.000 μB/atom

Cell and atoms, written as POSCAR:
```
MgB2P
1.0
0.0000 2.8135 2.8135
2.8135 0.0000 2.8135
2.8135 2.8135 0.0000
Mg B P
1 2 1
Direct
0.0000 0.0000 0.0000
0.2500 0.2500 0.2500
0.7500 0.7500 0.7500
0.5000 0.5000 0.5000
```

No. 8
A geometry-optimized MgBeW3 structure. Source: Alexandria, functional PBE-GGA.

Values from the calculation:
DFT formation energy   4.7 eV per formula unit
Energy relative to the lowest polymorph listed for this composition   0.00 eV/f.u.
N(E_F)   1.260 states/eV/atom
Symmetry   Pm-3m, No. 221
Spin magnetization   0.000 μB/atom

Cell and atoms, written as POSCAR:
```
MgBeW3
1.0
4.3024 0.0000 0.0000
0.0000 4.3024 0.0000
0.0000 0.0000 4.3024
Mg Be W
1 1 3
Direct
0.0000 0.0000 0.0000
0.5000 0.5000 0.5000
0.0000 0.5000 0.5000
0.5000 0.0000 0.5000
0.5000 0.5000 0.0000
```

No. 9
A geometry-optimized Ca2GeRuO6 structure. Source: Alexandria, functional PBE-GGA.

Values from the calculation:
Formation energy without anion corrections   -1.89 eV per atom
N(E_F)   0.325 states/eV/atom
Symmetry   P4/mmm, No. 123
Spin magnetization   0.105 μB/atom

Cell and atoms, written as POSCAR:
```
Ca2GeRuO6
1.0
5.5020 0.0000 0.0000
0.0000 5.5020 0.0000
0.0000 0.0000 3.8026
Ca Ge Ru O
2 1 1 6
Direct
0.0000 0.5000 0.0000
0.5000 0.0000 0.0000
0.0000 0.0000 0.5000
0.5000 0.5000 0.5000
0.0000 0.0000 0.0000
0.2418 0.2418 0.5000
0.2418 0.7582 0.5000
0.5000 0.5000 0.0000
0.7582 0.2418 0.5000
0.7582 0.7582 0.5000
```

No. 10
A geometry-optimized LiSmEr structure. Source: Alexandria, functional PBE-GGA.

Values from the calculation:
DFT formation energy   0.3 eV per formula unit
Energy relative to the lowest polymorph listed for this composition   0.09 eV/f.u.
N(E_F)   1.095 states/eV/atom
Symmetry   P3m1, No. 156
Spin magnetization   0.000 μB/atom

Cell and atoms, written as POSCAR:
```
LiSmEr
1.0
3.4881 0.0000 0.0000
-1.7440 3.0208 0.0000
0.0000 0.0000 8.3431
Li Sm Er
1 1 1
Direct
0.0000 0.0000 0.0000
0.6667 0.3333 0.3352
0.3333 0.6667 0.6753
```

No. 11
A geometry-optimized Al17Zn12 structure. Source: Alexandria, functional PBE-GGA.

Values from the calculation:
DFT formation energy   1.2 eV per formula unit
N(E_F)   0.340 states/eV/atom
Symmetry   I-43m, No. 217
Spin magnetization   0.000 μB/atom

Cell and atoms, written as POSCAR:
```
Al17Zn12
1.0
-4.8985 4.8985 4.8985
4.8985 -4.8985 4.8985
4.8985 4.8985 -4.8985
Al Zn
17 12
Direct
0.0000 0.0000 0.0000
0.0000 0.0000 0.3308
0.0000 0.3108 0.5910
0.0000 0.3308 0.0000
0.0000 0.5910 0.3108
0.2802 0.6892 0.6892
0.3108 0.0000 0.5910
0.3108 0.5910 0.0000
0.3308 0.0000 0.0000
0.4090 0.4090 0.7198
0.4090 0.7198 0.4090
0.5910 0.0000 0.3108
0.5910 0.3108 0.0000
0.6692 0.6692 0.6692
0.6892 0.2802 0.6892
0.6892 0.6892 0.2802
0.7198 0.4090 0.4090
0.0000 0.6200 0.8094
0.0000 0.8094 0.6200
0.1893 0.3800 0.3800
0.1906 0.1906 0.8107
0.1906 0.8107 0.1906
0.3800 0.1893 0.3800
0.3800 0.3800 0.1893
0.6200 0.0000 0.8094
0.6200 0.8094 0.0000
0.8094 0.0000 0.6200
0.8094 0.6200 0.0000
0.8107 0.1906 0.1906
```

No. 12
A geometry-optimized La5RuCl5 structure. Source: Alexandria, functional PBE-GGA.

Values from the calculation:
Formation energy without anion corrections   -1.52 eV per atom
N(E_F)   0.837 states/eV/atom
Symmetry   C2/m, No. 12
Spin magnetization   0.000 μB/atom

Cell and atoms, written as POSCAR:
```
La5RuCl5
1.0
6.4733 -2.9728 0.0000
6.4733 2.9728 0.0000
-2.9091 0.0000 8.1013
La Ru Cl
5 1 5
Direct
0.0000 0.0000 0.0000
0.3279 0.3279 0.1440
0.3492 0.3492 0.6993
0.6508 0.6508 0.3007
0.6721 0.6721 0.8560
0.5000 0.5000 0.0000
0.1506 0.1506 0.7967
0.1664 0.1664 0.3556
0.5000 0.5000 0.5000
0.8336 0.8336 0.6444
0.8494 0.8494 0.2033
```

No. 13
A geometry-optimized Na3Pr2RuO6 structure. Source: Alexandria, functional PBE-GGA.

Values from the calculation:
Formation energy without anion corrections   -2.00 eV per atom
N(E_F)   0.551 states/eV/atom
Symmetry   C2/m, No. 12
Spin magnetization   0.084 μB/atom

Cell and atoms, written as POSCAR:
```
Na3Pr2RuO6
1.0
2.9801 -5.0589 0.0000
2.9801 5.0589 0.0000
-1.8741 0.0000 5.6807
Na Pr Ru O
3 2 1 6
Direct
0.0000 0.0000 0.0000
0.3505 0.6495 0.0000
0.6495 0.3505 0.0000
0.1716 0.8284 0.5000
0.8284 0.1716 0.5000
0.5000 0.5000 0.5000
0.1190 0.4209 0.2754
0.2686 0.2686 0.7083
0.4209 0.1190 0.2754
0.5791 0.8810 0.7246
0.7314 0.7314 0.2917
0.8810 0.5791 0.7246
```

No. 14
A geometry-optimized RbAgTeSe2 structure. Source: Alexandria, functional PBE-GGA.

Values from the calculation:
Formation energy without anion corrections   -0.29 eV per atom
N(E_F)   0.269 states/eV/atom
Symmetry   Cmme, No. 67
Spin magnetization   0.000 μB/atom

Cell and atoms, written as POSCAR:
```
RbAgTeSe2
1.0
4.4445 -8.1402 0.0000
4.4445 8.1402 0.0000
0.0000 0.0000 5.0628
Rb Ag Te Se
2 2 2 4
Direct
0.2500 0.7500 0.8545
0.7500 0.2500 0.1455
0.0000 0.0000 0.0000
0.5000 0.5000 0.0000
0.2500 0.2500 0.5000
0.7500 0.7500 0.5000
0.1081 0.8919 0.3669
0.3919 0.6081 0.3669
0.6081 0.3919 0.6331
0.8919 0.1081 0.6331
```

No. 15
A geometry-optimized Tm4GaSi3 structure. Source: Alexandria, functional PBE-GGA.

Values from the calculation:
Formation energy without anion corrections   -0.78 eV per atom
N(E_F)   0.419 states/eV/atom
Symmetry   Pmm2, No. 25
Spin magnetization   0.000 μB/atom

Cell and atoms, written as POSCAR:
```
Tm4GaSi3
1.0
3.8434 0.0000 0.0000
0.0000 4.2217 0.0000
0.0000 0.0000 10.4831
Tm Ga Si
4 1 3
Direct
0.0000 0.0000 0.0000
0.0000 0.5000 0.4955
0.5000 0.0000 0.7153
0.5000 0.5000 0.2167
0.0000 0.5000 0.7795
0.0000 0.0000 0.2800
0.5000 0.0000 0.4332
0.5000 0.5000 0.9368
```

No. 16
A geometry-optimized Nd2Ga6Ir structure. Source: Alexandria, functional PBE-GGA.

Values from the calculation:
DFT formation energy   -5.2 eV per formula unit
Energy relative to the lowest polymorph listed for this composition   0.61 eV/f.u.
N(E_F)   0.795 states/eV/atom
Symmetry   P-3m1, No. 164
Spin magnetization   0.000 μB/atom

Cell and atoms, written as POSCAR:
```
Nd2Ga6Ir
1.0
6.0682 0.0000 0.0000
-3.0341 5.2553 0.0000
0.0000 0.0000 5.5680
Nd Ga Ir
2 6 1
Direct
0.3333 0.6667 0.3099
0.6667 0.3333 0.6901
0.1744 0.3487 0.8158
0.1744 0.8256 0.8158
0.3487 0.1744 0.1842
0.6513 0.8256 0.8158
0.8256 0.1744 0.1842
0.8256 0.6513 0.1842
0.0000 0.0000 0.5000
```

No. 17
A geometry-optimized Ac3Si2Pd9Au structure. Source: Alexandria, functional PBE-GGA.

Values from the calculation:
Formation energy without anion corrections   -0.68 eV per atom
N(E_F)   0.323 states/eV/atom
Symmetry   P-3m1, No. 164
Spin magnetization   0.000 μB/atom

Cell and atoms, written as POSCAR:
```
Ac3Si2Pd9Au
1.0
5.9479 0.0000 0.0000
-2.9739 5.1510 0.0000
0.0000 0.0000 10.7346
Ac Si Pd Au
3 2 9 1
Direct
0.0000 0.0000 0.0000
0.3333 0.6667 0.6185
0.6667 0.3333 0.3815
0.3333 0.6667 0.1569
0.6667 0.3333 0.8431
0.0000 0.5000 0.0000
0.1611 0.3222 0.2971
0.1611 0.8389 0.2971
0.3222 0.1611 0.7029
0.5000 0.0000 0.0000
0.5000 0.5000 0.0000
0.6778 0.8389 0.2971
0.8389 0.1611 0.7029
0.8389 0.6778 0.7029
0.0000 0.0000 0.5000
```

No. 18
A geometry-optimized YAg2Br structure. Source: Alexandria, functional PBE-GGA.

Values from the calculation:
Formation energy without anion corrections   -0.45 eV per atom
Energy relative to the lowest polymorph listed for this composition   0.03 eV/f.u.
N(E_F)   0.534 states/eV/atom
Symmetry   P4mm, No. 99
Spin magnetization   0.029 μB/atom

Cell and atoms, written as POSCAR:
```
YAg2Br
1.0
3.5262 0.0000 0.0000
0.0000 3.5262 0.0000
0.0000 0.0000 8.3234
Y Ag Br
1 2 1
Direct
0.0000 0.0000 0.0000
0.0000 0.0000 0.3903
0.5000 0.5000 0.2265
0.5000 0.5000 0.7858
```

No. 19
A geometry-optimized SrTc2Mo structure. Source: Alexandria, functional PBE-GGA.

Values from the calculation:
DFT formation energy   3.9 eV per formula unit
Energy relative to the lowest polymorph listed for this composition   1.93 eV/f.u.
N(E_F)   1.087 states/eV/atom
Symmetry   P4/mmm, No. 123
Spin magnetization   0.000 μB/atom

Cell and atoms, written as POSCAR:
```
SrTc2Mo
1.0
4.7287 0.0000 0.0000
0.0000 4.7287 0.0000
0.0000 0.0000 3.2047
Sr Tc Mo
1 2 1
Direct
0.0000 0.0000 0.0000
0.0000 0.5000 0.5000
0.5000 0.0000 0.5000
0.5000 0.5000 0.0000
```

No. 20
A geometry-optimized CaErPa2O8 structure. Source: Alexandria, functional PBE-GGA.

Values from the calculation:
Formation energy without anion corrections   -3.40 eV per atom
N(E_F)   0.908 states/eV/atom
Symmetry   I-4m2, No. 119
Spin magnetization   0.000 μB/atom

Cell and atoms, written as POSCAR:
```
CaErPa2O8
1.0
-2.7086 2.7086 5.3674
2.7086 -2.7086 5.3674
2.7086 2.7086 -5.3674
Ca Er Pa O
1 1 2 8
Direct
0.0000 0.0000 0.0000
0.2500 0.7500 0.5000
0.5000 0.5000 0.0000
0.7500 0.2500 0.5000
0.1278 0.1367 0.5192
0.1278 0.6086 0.9911
0.3914 0.3825 0.5192
0.3914 0.8722 0.0089
0.6175 0.1367 0.0089
0.6175 0.6086 0.4808
0.8633 0.3825 0.9911
0.8633 0.8722 0.4808
```